Compound: SiAgOs2
Source: Alexandria via LeMat-Bulk
Functional: PBE-GGA
Structure: relaxed

Cell and atoms, written as extended XYZ:
```
4
Lattice="5.2645 0.0007 -0.0010 2.6381 4.5558 0.0010 -3.4597 -3.1309 2.4378" Properties=species:S:1:pos:R:3 pbc="T T T"
Ag 1.7824 1.9770 1.2194
Os 7.7728 4.4816 0.0000
Os 2.6771 -0.5418 1.2184
Si 4.0645 2.3435 0.0000
```

Properties
DFT total energy: -7.199 eV per atom
E_form (uncorrected): 0.484 eV per atom
space-group type: Imm2 (44)